1.
Density functional theory data (PBE) for crystalline NiAuC2 at its relaxed geometry.

```
data_NiAuC2
_cell_length_a 5.5108
_cell_length_b 5.5108
_cell_length_c 5.5108
_cell_angle_alpha 90.00
_cell_angle_beta 90.00
_cell_angle_gamma 90.00
_symmetry_space_group_name_H-M 'F m -3 m'
_symmetry_Int_Tables_number 225
_symmetry_space_group_name_Hall '-F 4 2 3'
loop_
_atom_site_label
_atom_site_fract_x
_atom_site_fract_y
_atom_site_fract_z
Ni1 0.0000 0.0000 0.0000
Au1 0.0000 0.0000 0.5000
C1 0.2500 0.2500 0.2500
```

**DOS at the Fermi energy**: 11.5 states/eV/cell
**Total magnetic moment**: 0.0 Bohr magnetons per cell
**Calculated volume**: 167.4 Å³ per cell
**Crystal system**: cubic
**Formation enthalpy at 0 K**: 2099 meV/atom

***

2.
Density functional theory data (PBE) for crystalline TaBeSe2 at its relaxed geometry.

```
data_TaBeSe2
_cell_length_a 5.7251
_cell_length_b 5.7251
_cell_length_c 9.8512
_cell_angle_alpha 90.00
_cell_angle_beta 90.00
_cell_angle_gamma 90.00
_symmetry_space_group_name_H-M 'I -4 2 d'
_symmetry_Int_Tables_number 122
_symmetry_space_group_name_Hall 'I -4 2bw'
loop_
_atom_site_label
_atom_site_fract_x
_atom_site_fract_y
_atom_site_fract_z
Ta1 0.0000 0.0000 0.0000
Be1 0.0000 0.0000 0.5000
Se1 0.1986 0.2500 0.6250
```

**DOS at the Fermi energy**: 10.5 states/eV/cell
**Total magnetic moment**: 0.0 Bohr magnetons per cell
**Calculated volume**: 322.9 Å³ per cell
**Crystal system**: tetragonal

***

3.
Density functional theory data (PBE) for crystalline Dy2Ho2ErTm2 at its relaxed geometry.

```
data_Dy2Ho2ErTm2
_cell_length_a 5.5904
_cell_length_b 5.5904
_cell_length_c 24.1179
_cell_angle_alpha 90.00
_cell_angle_beta 90.00
_cell_angle_gamma 120.00
_symmetry_space_group_name_H-M 'R -3 m'
_symmetry_Int_Tables_number 166
_symmetry_space_group_name_Hall '-R 3 2"'
loop_
_atom_site_label
_atom_site_fract_x
_atom_site_fract_y
_atom_site_fract_z
Dy1 0.0000 0.0000 0.1412
Ho1 0.0000 0.0000 0.2856
Er1 0.0000 0.0000 0.0000
Tm1 0.0000 0.0000 0.4287
```

**DOS at the Fermi energy**: 51.0 states/eV/cell
**Total magnetic moment**: 0.1 Bohr magnetons per cell
**Calculated volume**: 652.8 Å³ per cell
**Crystal system**: trigonal
**Formation enthalpy at 0 K**: 142 meV/atom

***

4.
Density functional theory data (PBE) for crystalline PaTe3Pt at its relaxed geometry.

```
data_PaTe3Pt
_cell_length_a 16.0517
_cell_length_b 4.0563
_cell_length_c 9.2317
_cell_angle_alpha 90.00
_cell_angle_beta 107.13
_cell_angle_gamma 90.00
_symmetry_space_group_name_H-M 'C 1 2/m 1'
_symmetry_Int_Tables_number 12
loop_
_symmetry_equiv_pos_as_xyz
'x,y,z'
'-x,-y,-z'
'-x,y,-z'
'x,-y,z'
'x+1/2,y+1/2,z'
'-x+1/2,-y+1/2,-z'
'-x+1/2,y+1/2,-z'
'x+1/2,-y+1/2,z'
loop_
_atom_site_label
_atom_site_fract_x
_atom_site_fract_y
_atom_site_fract_z
Pa1 0.1116 0.0000 0.0878
Te1 0.0190 0.5000 0.8203
Te2 0.1394 0.0000 0.4507
Te3 0.2303 0.0000 0.8445
Pt1 0.2129 0.5000 0.6374
```

**DOS at the Fermi energy**: 22.6 states/eV/cell
**Total magnetic moment**: 4.0 Bohr magnetons per cell
**Calculated volume**: 574.4 Å³ per cell
**Crystal system**: monoclinic

***

5.
Density functional theory data (PBE) for crystalline Li2CaOs at its relaxed geometry.

```
data_Li2CaOs
_cell_length_a 3.1984
_cell_length_b 3.1984
_cell_length_c 7.5404
_cell_angle_alpha 90.00
_cell_angle_beta 90.00
_cell_angle_gamma 90.00
_symmetry_space_group_name_H-M 'P 4 m m'
_symmetry_Int_Tables_number 99
loop_
_symmetry_equiv_pos_as_xyz
'x,y,z'
'-y,x,z'
'-x,-y,z'
'y,-x,z'
'-x,y,z'
'y,x,z'
'x,-y,z'
'-y,-x,z'
loop_
_atom_site_label
_atom_site_fract_x
_atom_site_fract_y
_atom_site_fract_z
Li1 0.0000 0.0000 0.0000
Li2 0.5000 0.5000 0.1987
Ca1 0.5000 0.5000 0.6174
Os1 0.0000 0.0000 0.3654
```

**DOS at the Fermi energy**: 4.4 states/eV/cell
**Total magnetic moment**: 0.6 Bohr magnetons per cell
**Calculated volume**: 77.1 Å³ per cell
**Crystal system**: tetragonal
**Formation enthalpy at 0 K**: 431 meV/atom

***

6.
Density functional theory data (PBE) for crystalline Sc3HgMo at its relaxed geometry.

```
data_Sc3HgMo
_cell_length_a 5.2165
_cell_length_b 5.2165
_cell_length_c 5.2165
_cell_angle_alpha 90.00
_cell_angle_beta 90.00
_cell_angle_gamma 90.00
_symmetry_space_group_name_H-M 'P m -3 m'
_symmetry_Int_Tables_number 221
_symmetry_space_group_name_Hall '-P 4 2 3'
loop_
_atom_site_label
_atom_site_fract_x
_atom_site_fract_y
_atom_site_fract_z
Sc1 0.0000 0.0000 0.5000
Hg1 0.0000 0.0000 0.0000
Mo1 0.5000 0.5000 0.5000
```

**DOS at the Fermi energy**: 5.9 states/eV/cell
**Total magnetic moment**: 3.1 Bohr magnetons per cell
**Calculated volume**: 142.0 Å³ per cell
**Crystal system**: cubic
**Formation enthalpy at 0 K**: 1008 meV/atom

***

| no. | total energy (eV per atom) |
| --- | --- |
| 1 | -4.78 |
| 2 | -5.68 |
| 3 | -4.41 |
| 4 | -5.58 |
| 5 | -3.83 |
| 6 | -5.02 |